[1]
TaBe2Hg: relaxed, PBE.

Computed properties:
- Total energy: -4.310 eV/atom
- ΔE_f: 0.592 eV per atom
- DOS(E_F): 3.18 states/eV/cell
- Spin magnetization: 0.001 μB per cell

a = 8.910 Å, b = 8.910 Å, c = 8.910 Å
α = 18.38°, β = 18.38°, γ = 18.38°
Positions (direct):
Ta 0.000 0.000 0.000
Be 0.478 0.478 0.478
Be 0.749 0.749 0.749
Hg 0.231 0.231 0.231

***

[2]
ReTcN2O: relaxed, PBE.

Computed properties:
- Total energy: -8.340 eV/atom
- Formation energy (no corrections): 0.545 eV/atom
- DOS(E_F): 2.34 states/eV/cell
- Spin magnetization: 4.330 μB per cell

a = 3.948 Å, b = 3.948 Å, c = 3.843 Å
α = 90.00°, β = 90.00°, γ = 90.00°
Positions (direct):
Re 0.000 0.000 0.000
Tc 0.500 0.500 0.500
N 0.000 0.500 0.000
N 0.500 0.000 0.000
O 0.000 0.000 0.500

***

[3]
AlSn3Au: relaxed, PBE.

Computed properties:
- Total energy: -3.287 eV/atom
- Energy above the most stable polymorph in this dataset: 21 meV/atom
- ΔE_f: 0.518 eV per atom
- DOS(E_F): 2.90 states/eV/cell
- Spin magnetization: 0.000 μB per cell

a = 5.241 Å, b = 5.241 Å, c = 5.241 Å
α = 90.00°, β = 90.00°, γ = 90.00°
Positions (direct):
Al 0.000 0.000 0.000
Sn 0.000 0.000 0.500
Sn 0.000 0.500 0.000
Sn 0.500 0.000 0.000
Au 0.500 0.500 0.500

***

[4]
PmAlNi2: relaxed, PBE.

Computed properties:
- Total energy: -5.527 eV/atom
- ΔE_f: -0.513 eV per atom
- DOS(E_F): 4.36 states/eV/cell
- Spin magnetization: 0.000 μB per cell

a = 4.173 Å, b = 6.473 Å, c = 5.259 Å
α = 90.00°, β = 90.00°, γ = 90.00°
Positions (direct):
Pm 0.250 0.250 0.150
Pm 0.750 0.750 0.850
Al 0.250 0.750 0.354
Al 0.750 0.250 0.646
Ni 0.250 0.054 0.635
Ni 0.250 0.446 0.635
Ni 0.750 0.554 0.365
Ni 0.750 0.946 0.365

***

[5]
ZnBiNO2: relaxed, PBE.

Computed properties:
- Total energy: -4.243 eV/atom
- Formation energy (no corrections): 0.437 eV/atom
- DOS(E_F): 3.20 states/eV/cell
- Spin magnetization: 0.264 μB per cell

a = 4.168 Å, b = 4.168 Å, c = 4.376 Å
α = 90.00°, β = 90.00°, γ = 90.00°
Positions (direct):
Zn 0.000 0.000 0.000
Bi 0.500 0.500 0.500
N 0.500 0.500 0.000
O 0.000 0.500 0.500
O 0.500 0.000 0.500

***

[6]
LaZrGa5Pt2: relaxed, PBE.

Computed properties:
- Total energy: -4.882 eV/atom
- ΔE_f: -0.360 eV per atom
- DOS(E_F): 5.37 states/eV/cell
- Spin magnetization: 0.000 μB per cell

a = 4.641 Å, b = 4.641 Å, c = 9.486 Å
α = 90.00°, β = 90.00°, γ = 90.00°
Positions (direct):
La 0.000 0.000 0.000
Zr 0.000 0.000 0.500
Ga 0.000 0.500 0.328
Ga 0.000 0.500 0.672
Ga 0.500 0.000 0.328
Ga 0.500 0.000 0.672
Ga 0.500 0.500 0.000
Pt 0.500 0.500 0.243
Pt 0.500 0.500 0.757

***

[7]
AlRe3Br: relaxed, PBE.

Computed properties:
- Total energy: -6.291 eV/atom
- Energy above the most stable polymorph in this dataset: 0 meV/atom
- Formation energy (no corrections): 2.261 eV/atom
- DOS(E_F): 6.05 states/eV/cell
- Spin magnetization: 0.046 μB per cell

a = 4.538 Å, b = 4.538 Å, c = 4.538 Å
α = 90.00°, β = 90.00°, γ = 90.00°
Positions (direct):
Al 0.000 0.000 0.000
Re 0.000 0.500 0.500
Re 0.500 0.000 0.500
Re 0.500 0.500 0.000
Br 0.500 0.500 0.500

***

[8]
CaTaCo2: relaxed, PBE.

Computed properties:
- Total energy: -7.028 eV/atom
- Energy above the most stable polymorph in this dataset: 0 meV/atom
- ΔE_f: -0.012 eV per atom
- DOS(E_F): 3.60 states/eV/cell
- Spin magnetization: 0.698 μB per cell

a = 3.102 Å, b = 3.102 Å, c = 6.955 Å
α = 90.00°, β = 90.00°, γ = 90.00°
Positions (direct):
Ca 0.000 0.000 0.000
Ta 0.000 0.000 0.500
Co 0.500 0.500 0.307
Co 0.500 0.500 0.693

***

Question: DOS(E_F) of number 1 (TaBe2Hg)?
Answer: 3.18 states/eV/cell